Entry from the Open Quantum Materials Database: a geometry-optimized NdDy2Sn3PdPt2 structure (GGA-PBE).

## Properties
**Calculated total energy**: -105.2 eV for the cell shown
**Volume**: 403 Å³ per cell
**Total magnetic moment**: 0.0 μB/f.u.

Structure (CIF):
```
data_NdDy2Sn3PdPt2
_cell_length_a 4.0601
_cell_length_b 13.1494
_cell_length_c 7.5439
_cell_angle_alpha 90.00
_cell_angle_beta 90.00
_cell_angle_gamma 90.00
_space_group_name_H-M_alt 'A m m 2'
_space_group_IT_number 38
loop_
_space_group_symop_operation_xyz
'x,y,z'
'-x,-y,z'
'-x,y,z'
'x,-y,z'
'x,y+1/2,z+1/2'
'-x,-y+1/2,z+1/2'
'-x,y+1/2,z+1/2'
'x,-y+1/2,z+1/2'
loop_
_atom_site_label
_atom_site_type_symbol
_atom_site_fract_x
_atom_site_fract_y
_atom_site_fract_z
Nd1 Nd 0.0000 0.0000 0.0000
Dy1 Dy 0.0000 0.2048 0.6156
Sn1 Sn 0.5000 0.0000 0.6663
Sn2 Sn 0.5000 0.1283 0.2849
Pd1 Pd 0.0000 0.0000 0.4158
Pt1 Pt 0.5000 0.1706 0.9096
```


Entry from the Open Quantum Materials Database: a geometry-optimized Zn2S3 structure (GGA-PBE).

## Properties
**Calculated total energy**: -68.2 eV for the cell shown
**Volume**: 392 Å³ per cell

Structure (CIF):
```
data_Zn2S3
_cell_length_a 8.4817
_cell_length_b 7.1721
_cell_length_c 7.0157
_cell_angle_alpha 90.00
_cell_angle_beta 113.31
_cell_angle_gamma 90.00
_space_group_name_H-M_alt 'C 1 c 1'
_space_group_IT_number 9
loop_
_space_group_symop_operation_xyz
'x,y,z'
'x,-y,z+1/2'
'x+1/2,y+1/2,z'
'x+1/2,-y+1/2,z+1/2'
loop_
_atom_site_label
_atom_site_type_symbol
_atom_site_fract_x
_atom_site_fract_y
_atom_site_fract_z
Zn1 Zn 0.0000 0.0848 0.0000
Zn2 Zn 0.1410 0.3971 0.5441
S1 S 0.2407 0.1059 0.6845
S2 S 0.3612 0.3796 0.1489
S3 S 0.4896 0.1161 0.6754
```


Entry from the Open Quantum Materials Database: a geometry-optimized Y2Lu4Ga3C3 structure (GGA-PBE).

## Properties
**Calculated total energy**: -291.9 eV for the cell shown
**Volume**: 965 Å³ per cell
**Total magnetic moment**: 1.1 μB/f.u.

Structure (CIF):
```
data_Y2Lu4Ga3C3
_cell_length_a 10.5078
_cell_length_b 6.0604
_cell_length_c 15.5456
_cell_angle_alpha 90.00
_cell_angle_beta 103.02
_cell_angle_gamma 90.00
_space_group_name_H-M_alt 'C 1 2/c 1'
_space_group_IT_number 15
loop_
_space_group_symop_operation_xyz
'x,y,z'
'-x,-y,-z'
'-x,y,-z+1/2'
'x,-y,z+1/2'
'x+1/2,y+1/2,z'
'-x+1/2,-y+1/2,-z'
'-x+1/2,y+1/2,-z+1/2'
'x+1/2,-y+1/2,z+1/2'
loop_
_atom_site_label
_atom_site_type_symbol
_atom_site_fract_x
_atom_site_fract_y
_atom_site_fract_z
Y1 Y 0.0492 0.0818 0.4017
Lu1 Lu 0.1110 0.4140 0.5828
Lu2 Lu 0.2237 0.4175 0.9172
Ga1 Ga 0.0000 0.4273 0.7500
Ga2 Ga 0.2414 0.1567 0.7504
C1 C 0.0824 0.2473 0.0000
C2 C 0.2500 0.2500 0.5000
```


Entry from the Open Quantum Materials Database: a geometry-optimized Pr2SmCo2B2C3 structure (GGA-PBE).

## Properties
**Calculated total energy**: -141.6 eV for the cell shown
**Volume**: 285 Å³ per cell
**Total magnetic moment**: 1.4 μB/f.u.

Structure (CIF):
```
data_Pr2SmCo2B2C3
_cell_length_a 3.7003
_cell_length_b 3.7003
_cell_length_c 20.8084
_cell_angle_alpha 90.00
_cell_angle_beta 90.00
_cell_angle_gamma 90.00
_space_group_name_H-M_alt 'I 4/m m m'
_space_group_IT_number 139
_space_group_name_Hall '-I 4 2'
loop_
_atom_site_label
_atom_site_type_symbol
_atom_site_fract_x
_atom_site_fract_y
_atom_site_fract_z
Pr1 Pr 0.0000 0.0000 0.1279
Sm1 Sm 0.0000 0.0000 0.5000
Co1 Co 0.0000 0.5000 0.2500
B1 B 0.0000 0.0000 0.3023
C1 C 0.0000 0.0000 0.0000
C2 C 0.0000 0.0000 0.3747
```


Entry from the Open Quantum Materials Database: a geometry-optimized DyHo2Sc3P2Os structure (GGA-PBE).

## Properties
**Calculated total energy**: -125.1 eV for the cell shown
**Volume**: 385 Å³ per cell
**Total magnetic moment**: 0.1 μB/f.u.

Structure (CIF):
```
data_DyHo2Sc3P2Os
_cell_length_a 4.0555
_cell_length_b 12.8223
_cell_length_c 7.3963
_cell_angle_alpha 90.00
_cell_angle_beta 90.00
_cell_angle_gamma 90.00
_space_group_name_H-M_alt 'A m m 2'
_space_group_IT_number 38
loop_
_space_group_symop_operation_xyz
'x,y,z'
'-x,-y,z'
'-x,y,z'
'x,-y,z'
'x,y+1/2,z+1/2'
'-x,-y+1/2,z+1/2'
'-x,y+1/2,z+1/2'
'x,-y+1/2,z+1/2'
loop_
_atom_site_label
_atom_site_type_symbol
_atom_site_fract_x
_atom_site_fract_y
_atom_site_fract_z
Dy1 Dy 0.0000 0.0000 0.0000
Ho1 Ho 0.0000 0.2063 0.3809
Sc1 Sc 0.5000 0.0000 0.3440
Sc2 Sc 0.5000 0.1205 0.7076
P1 P 0.5000 0.1673 0.0872
Os1 Os 0.0000 0.0000 0.5848
```


Entry from the Open Quantum Materials Database: a geometry-optimized Sc2BeZn structure (GGA-PBE).

## Properties
**Calculated total energy**: -67.2 eV for the cell shown
**Volume**: 279 Å³ per cell
**Total magnetic moment**: 1.5 μB/f.u.

Structure (CIF):
```
data_Sc2BeZn
_cell_length_a 6.5318
_cell_length_b 6.5318
_cell_length_c 6.5318
_cell_angle_alpha 90.00
_cell_angle_beta 90.00
_cell_angle_gamma 90.00
_space_group_name_H-M_alt 'F -4 3 m'
_space_group_IT_number 216
_space_group_name_Hall 'F -4 2 3'
loop_
_atom_site_label
_atom_site_type_symbol
_atom_site_fract_x
_atom_site_fract_y
_atom_site_fract_z
Sc1 Sc 0.0000 0.0000 0.0000
Sc2 Sc 0.2500 0.2500 0.2500
Be1 Be 0.2500 0.2500 0.7500
Zn1 Zn 0.0000 0.0000 0.5000
```


Entry from the Open Quantum Materials Database: a geometry-optimized RbCuTcTe3 structure (GGA-PBE).

## Properties
**Calculated total energy**: -102.5 eV for the cell shown
**Volume**: 651 Å³ per cell
**Total magnetic moment**: 0.0 μB/f.u.

Structure (CIF):
```
data_RbCuTcTe3
_cell_length_a 9.1552
_cell_length_b 4.1413
_cell_length_c 17.1619
_cell_angle_alpha 90.00
_cell_angle_beta 90.00
_cell_angle_gamma 90.00
_space_group_name_H-M_alt 'P n m a'
_space_group_IT_number 62
loop_
_space_group_symop_operation_xyz
'x,y,z'
'-x,-y,-z'
'-x+1/2,-y,z+1/2'
'x+1/2,y,-z+1/2'
'x+1/2,-y+1/2,-z+1/2'
'-x+1/2,y+1/2,z+1/2'
'-x,y+1/2,-z'
'x,-y+1/2,z'
loop_
_atom_site_label
_atom_site_type_symbol
_atom_site_fract_x
_atom_site_fract_y
_atom_site_fract_z
Rb1 Rb 0.0740 0.2500 0.1539
Cu1 Cu 0.0245 0.2500 0.6809
Tc1 Tc 0.1787 0.7500 0.4363
Te1 Te 0.0273 0.7500 0.5804
Te2 Te 0.1790 0.7500 0.9965
Te3 Te 0.2381 0.2500 0.7861
```


Entry from the Open Quantum Materials Database: a geometry-optimized TbHoIn4Pd2 structure (GGA-PBE).

## Properties
**Calculated total energy**: -71.3 eV for the cell shown
**Volume**: 355 Å³ per cell
**Total magnetic moment**: 0.0 μB/f.u.

Structure (CIF):
```
data_TbHoIn4Pd2
_cell_length_a 7.5973
_cell_length_b 4.4584
_cell_length_c 10.4820
_cell_angle_alpha 90.00
_cell_angle_beta 90.00
_cell_angle_gamma 90.00
_space_group_name_H-M_alt 'A m m 2'
_space_group_IT_number 38
loop_
_space_group_symop_operation_xyz
'x,y,z'
'-x,-y,z'
'-x,y,z'
'x,-y,z'
'x,y+1/2,z+1/2'
'-x,-y+1/2,z+1/2'
'-x,y+1/2,z+1/2'
'x,-y+1/2,z+1/2'
loop_
_atom_site_label
_atom_site_type_symbol
_atom_site_fract_x
_atom_site_fract_y
_atom_site_fract_z
Tb1 Tb 0.0000 0.0000 0.0000
Ho1 Ho 0.5000 0.0000 0.8536
In1 In 0.2014 0.0000 0.2895
In2 In 0.2997 0.0000 0.5645
Pd1 Pd 0.0000 0.0000 0.7149
Pd2 Pd 0.5000 0.0000 0.1384
```